Compound: KPaCr2O8
Source: the Alexandria database
Functional: PBE with a Hubbard U
Structure: relaxed

Structure (CIF):
```
data_KPaCr2O8
_cell_length_a 5.8248
_cell_length_b 5.8248
_cell_length_c 7.6957
_cell_angle_alpha 90.00
_cell_angle_beta 90.00
_cell_angle_gamma 120.00
_space_group_name_H-M_alt 'P -3 m 1'
_space_group_IT_number 164
_space_group_name_Hall '-P 3 2"'
loop_
_atom_site_label
_atom_site_type_symbol
_atom_site_fract_x
_atom_site_fract_y
_atom_site_fract_z
K1 K 0.0000 0.0000 0.0000
Pa1 Pa 0.0000 0.0000 0.5000
Cr1 Cr 0.3333 0.6667 0.2471
O1 O 0.1700 0.3400 0.3283
O2 O 0.3333 0.6667 0.0351
```

Results
Final energy: -0.54845 Ry/atom
D(E_F): 0.634 states/eV per atom
Crystal system: trigonal